Version i
OsPtRh2 at its PBEsol-relaxed geometry, computed with SCAN.

Cell and atoms, written as POSCAR:
```
OsPtRh2
1.0
-1.900 1.900 3.847
1.900 -1.900 3.847
1.900 1.900 -3.847
Os Pt Rh
1 1 2
Cartesian
0.000 0.000 0.000 Os
1.900 0.000 1.923 Pt
0.000 0.000 3.847 Rh
0.000 1.900 1.923 Rh
```

***

Version ii
OsPtRh2 at its PBEsol-relaxed geometry, computed with SCAN.

Cell and atoms, written as POSCAR:
```
OsPtRh2
1.0
1.349 0.779 8.863
-1.349 0.779 8.863
0.000 -1.557 8.863
Os Pt Rh
1 1 2
Cartesian
0.000 0.000 0.000 Os
0.000 0.000 13.294 Pt
0.000 0.000 6.726 Rh
0.000 0.000 19.862 Rh
```

***

Version iii
OsPtRh2 at its PBEsol-relaxed geometry, computed with SCAN.

Cell and atoms, written as POSCAR:
```
OsPtRh2
1.0
4.484 -1.342 0.000
4.484 1.342 0.000
-0.795 0.000 4.625
Os Pt Rh
1 1 2
Cartesian
0.000 0.000 0.000 Os
4.086 0.000 2.312 Pt
1.670 0.000 3.509 Rh
6.503 0.000 1.116 Rh
```

***

Version iv
OsPtRh2 at its PBEsol-relaxed geometry, computed with SCAN.

Cell and atoms, written as POSCAR:
```
OsPtRh2
1.0
-1.905 1.905 3.829
1.905 -1.905 3.829
1.905 1.905 -3.829
Os Pt Rh
1 1 2
Cartesian
0.000 0.000 0.000 Os
0.000 0.000 3.829 Pt
1.905 0.000 1.915 Rh
0.000 1.905 1.915 Rh
```

***

Which of them is the least stable? Correct choice: version i.